No. 1
{"formula": "Zn4Cu15Ag", "functional": "GGA-PBE", "state": "optimized geometry", "lattice_angstrom": [[3.648, 0.000, 0.000], [0.000, 3.648, 0.000], [0.000, 0.000, 19.032]], "species": ["Zn", "Zn", "Zn", "Zn", "Cu", "Cu", "Cu", "Cu", "Cu", "Cu", "Cu", "Cu", "Cu", "Cu", "Cu", "Cu", "Cu", "Cu", "Cu", "Ag"], "frac_coords": [[0.000, 0.000, 0.099], [0.000, 0.000, 0.297], [0.000, 0.000, 0.703], [0.000, 0.000, 0.901], [0.000, 0.500, 0.000], [0.000, 0.500, 0.198], [0.000, 0.500, 0.395], [0.000, 0.500, 0.605], [0.000, 0.500, 0.802], [0.500, 0.000, 0.000], [0.500, 0.000, 0.198], [0.500, 0.000, 0.395], [0.500, 0.000, 0.605], [0.500, 0.000, 0.802], [0.500, 0.500, 0.099], [0.500, 0.500, 0.296], [0.500, 0.500, 0.500], [0.500, 0.500, 0.704], [0.500, 0.500, 0.901], [0.000, 0.000, 0.500]], "dos_at_fermi_per_ev_fu": 11.86, "total_energy_ev_per_cell": -69.90, "spacegroup": "No. 123"}

No. 2
{"formula": "ZnCuAg2", "functional": "GGA-PBE", "state": "optimized geometry", "lattice_angstrom": [[0.000, 3.165, 3.165], [3.165, 0.000, 3.165], [3.165, 3.165, 0.000]], "species": ["Zn", "Cu", "Ag", "Ag"], "frac_coords": [[0.000, 0.000, 0.000], [0.250, 0.250, 0.250], [0.500, 0.500, 0.500], [0.750, 0.750, 0.750]], "dos_at_fermi_per_ev_fu": 1.51, "total_energy_ev_per_cell": -10.80, "spacegroup": "No. 216"}

No. 3
{"formula": "Zn3CuAg", "functional": "GGA-PBE", "state": "optimized geometry", "lattice_angstrom": [[5.058, -5.071, 0.000], [5.058, 5.071, 0.000], [0.000, 0.000, 5.886]], "species": ["Zn", "Zn", "Zn", "Zn", "Zn", "Zn", "Zn", "Zn", "Zn", "Zn", "Zn", "Zn", "Cu", "Cu", "Cu", "Cu", "Ag", "Ag", "Ag", "Ag"], "frac_coords": [[0.094, 0.906, 0.858], [0.097, 0.613, 0.124], [0.113, 0.597, 0.624], [0.387, 0.903, 0.124], [0.403, 0.887, 0.624], [0.406, 0.594, 0.358], [0.594, 0.406, 0.642], [0.597, 0.113, 0.376], [0.613, 0.097, 0.876], [0.887, 0.403, 0.376], [0.903, 0.387, 0.876], [0.906, 0.094, 0.142], [0.105, 0.895, 0.391], [0.395, 0.605, 0.891], [0.605, 0.395, 0.109], [0.895, 0.105, 0.609], [0.247, 0.253, 0.250], [0.253, 0.247, 0.750], [0.747, 0.753, 0.250], [0.753, 0.747, 0.750]], "dos_at_fermi_per_ev_fu": 0.83, "total_energy_ev_per_cell": -42.60, "polymorph_energy_mev_per_atom": 47.2, "spacegroup": "No. 64"}

No. 4
{"formula": "Zn12Cu6Ag", "functional": "GGA-PBE", "state": "optimized geometry", "lattice_angstrom": [[5.869, 3.389, 2.196], [-5.869, 3.389, 2.196], [0.000, -6.777, 2.196]], "species": ["Zn", "Zn", "Zn", "Zn", "Zn", "Zn", "Zn", "Zn", "Zn", "Zn", "Zn", "Zn", "Cu", "Cu", "Cu", "Cu", "Cu", "Cu", "Ag"], "frac_coords": [[0.017, 0.291, 0.173], [0.173, 0.017, 0.291], [0.236, 0.612, 0.670], [0.291, 0.173, 0.017], [0.330, 0.764, 0.388], [0.388, 0.330, 0.764], [0.612, 0.670, 0.236], [0.670, 0.236, 0.612], [0.709, 0.827, 0.983], [0.764, 0.388, 0.330], [0.827, 0.983, 0.709], [0.983, 0.709, 0.827], [0.070, 0.859, 0.548], [0.141, 0.452, 0.930], [0.452, 0.930, 0.141], [0.548, 0.070, 0.859], [0.859, 0.548, 0.070], [0.930, 0.141, 0.452], [0.500, 0.500, 0.500]], "dos_at_fermi_per_ev_fu": 3.68, "total_energy_ev_per_cell": -43.68, "polymorph_energy_mev_per_atom": 0.0, "spacegroup": "No. 148"}

No. 5
{"formula": "Zn5CuAg5", "functional": "GGA-PBE", "state": "optimized geometry", "lattice_angstrom": [[7.652, -2.371, 0.000], [7.652, 2.371, 0.000], [-2.058, 0.000, 5.277]], "species": ["Zn", "Zn", "Zn", "Zn", "Zn", "Cu", "Ag", "Ag", "Ag", "Ag", "Ag"], "frac_coords": [[0.000, 0.000, 0.000], [0.347, 0.347, 0.087], [0.347, 0.347, 0.608], [0.653, 0.653, 0.392], [0.653, 0.653, 0.913], [0.500, 0.500, 0.000], [0.169, 0.169, 0.669], [0.185, 0.185, 0.185], [0.500, 0.500, 0.500], [0.815, 0.815, 0.815], [0.831, 0.831, 0.331]], "dos_at_fermi_per_ev_fu": 3.57, "total_energy_ev_per_cell": -23.75, "spacegroup": "No. 12"}

No. 6
{"formula": "Zn2CuAg", "functional": "GGA-PBE", "state": "optimized geometry", "lattice_angstrom": [[4.757, -1.482, 0.000], [4.757, 1.482, 0.000], [-1.586, 0.000, 4.186]], "species": ["Zn", "Zn", "Cu", "Ag"], "frac_coords": [[0.000, 0.000, 0.000], [0.250, 0.250, 0.692], [0.737, 0.737, 0.174], [0.492, 0.492, 0.490]], "dos_at_fermi_per_ev_fu": 0.55, "total_energy_ev_per_cell": -9.61, "spacegroup": "No. 8"}

What did the sixth record say?
{"formula": "Zn2CuAg", "functional": "GGA-PBE", "state": "optimized geometry", "lattice_angstrom": [[4.757, -1.482, 0.000], [4.757, 1.482, 0.000], [-1.586, 0.000, 4.186]], "species": ["Zn", "Zn", "Cu", "Ag"], "frac_coords": [[0.000, 0.000, 0.000], [0.250, 0.250, 0.692], [0.737, 0.737, 0.174], [0.492, 0.492, 0.490]], "dos_at_fermi_per_ev_fu": 0.55, "total_energy_ev_per_cell": -9.61, "spacegroup": "No. 8"}